VASP calculation (PBE) on a geometry-optimized EuBeSb structure.

Cell: 4.5585 4.2130 4.2130 Å, 120.00 90.00 90.00°
Last column: nearest neighbours and their distance in Å.
Sites, in units of the cell vectors:
Be  0.1660  0.0000  0.0000  3 Sb 2.43
Sb  0.1671  0.3333  0.6667  3 Be 2.43
Eu  0.6669  0.6667  0.3333  6 Be 3.33-3.34, 6 Sb 3.33

## Properties
- volume (Å³ per cell) = 70
- E_form (uncorrected) (meV per atom) = -533
- total moment (μB per cell) = 7.3

VASP calculation (PBE) on a geometry-optimized EuBeSe2 structure.

Cell: 3.6313 3.6313 8.6880 Å, 77.94 77.94 60.00°
Last column: nearest neighbours and their distance in Å.
Sites, in units of the cell vectors:
Se  0.8856  0.8856  0.3433  3 Be 2.48
Se  0.1144  0.1144  0.6567  3 Be 2.48
Be  0.5000  0.5000  0.5000  6 Se 2.48
Eu  0.0000  0.0000  0.0000  2 Se 2.89

## Properties
- volume (Å³ per cell) = 96
- E_form (uncorrected) (meV per atom) = -340
- total moment (μB per cell) = 7.4

VASP calculation (PBE) on a geometry-optimized EuBeSi structure.

Cell: 4.3703 3.9471 3.9471 Å, 120.00 90.00 90.00°
Last column: nearest neighbours and their distance in Å.
Sites, in units of the cell vectors:
Eu  0.6666  0.6667  0.3333  6 Be 3.16, 6 Si 3.16
Si  0.1667  0.0000  0.0000  3 Be 2.28
Be  0.1667  0.3333  0.6667  3 Si 2.28

## Properties
- volume (Å³ per cell) = 59
- E_form (uncorrected) (meV per atom) = -389
- total moment (μB per cell) = 7.0

VASP calculation (PBE) on a geometry-optimized EuBeSn structure.

Cell: 4.5783 4.2733 4.2733 Å, 120.00 90.00 90.00°
Last column: nearest neighbours and their distance in Å.
Sites, in units of the cell vectors:
Eu  0.6666  0.3333  0.6667  6 Be 3.36-3.37, 6 Sn 3.37
Be  0.1668  0.6667  0.3333  3 Sn 2.47
Sn  0.1666  0.0000  0.0000  3 Be 2.47

## Properties
- DFT formation energy (meV/atom) = -331
- volume (Å³ per cell) = 72
- total moment (μB per cell) = 7.1

VASP calculation (PBE) on a geometry-optimized EuY2Be structure.

Cell: 3.5082 3.5082 9.0748 Å, 90.00 90.00 90.00°
Last column: nearest neighbours and their distance in Å.
Sites, in units of the cell vectors:
Y  0.0000  0.0000  0.8218  4 Be 2.96, 1 Y 3.23
Eu  0.5000  0.5000  0.5000  4 Eu 3.51, 8 Y 3.83
Y  0.0000  0.0000  0.1782  4 Be 2.96, 1 Y 3.23
Be  0.5000  0.5000  0.0000  8 Y 2.96

## Properties
- DFT formation energy (meV/atom) = 101
- volume (Å³ per cell) = 112
- total moment (μB per cell) = 7.7

VASP calculation (PBE) on a geometry-optimized Be2F structure.

Cell: 2.6181 2.6181 8.5836 Å, 90.00 90.00 90.00°
Last column: nearest neighbours and their distance in Å.
Sites, in units of the cell vectors:
Be  0.0000  0.0000  0.1800  1 F 1.55
Be  0.0000  0.0000  0.8200  1 F 1.55
F  0.0000  0.0000  0.0000  2 Be 1.55
Be  0.5000  0.5000  0.6800  1 F 1.55
F  0.5000  0.5000  0.5000  2 Be 1.55
Be  0.5000  0.5000  0.3200  1 F 1.55

## Properties
- relative energy among the computed polymorphs (meV per atom) = 70
- volume (Å³ per cell) = 59
- E_form (uncorrected) (meV per atom) = -1191
- total moment (μB per cell) = 0.0

VASP calculation (PBE) on a geometry-optimized Be2F structure.

Cell: 16.4811 2.3663 3.5609 Å, 90.00 90.00 90.00°
Last column: nearest neighbours and their distance in Å.
Sites, in units of the cell vectors:
Be  0.5000  0.5000  0.0000  6 Be 2.14-2.37
Be  0.0000  0.5000  0.0000  10 Be 2.14-2.37
F  0.8258  0.5000  0.0000  2 Be 1.54
Be  0.5000  0.0000  0.5000  10 Be 2.14-2.37
F  0.6742  0.0000  0.5000  2 Be 1.54
Be  0.3856  0.5000  0.5000  2 F 1.54
F  0.3258  0.0000  0.5000  2 Be 1.54
Be  0.1144  0.0000  0.0000  2 F 1.54
Be  0.8856  0.0000  0.0000  2 F 1.54
Be  0.0000  0.0000  0.5000  6 Be 2.14-2.37
F  0.1742  0.5000  0.0000  2 Be 1.54
Be  0.6144  0.5000  0.5000  2 F 1.54

## Properties
- relative energy among the computed polymorphs (meV per atom) = 31
- volume (Å³ per cell) = 139
- E_form (uncorrected) (meV per atom) = -1230
- total moment (μB per cell) = 0.0

VASP calculation (PBE) on a geometry-optimized Be4F structure.

Cell: 3.6447 3.6447 3.6447 Å, 90.00 90.00 90.00°
Last column: nearest neighbours and their distance in Å.
Sites, in units of the cell vectors:
Be  0.5000  0.0000  0.5000  2 F 1.82
Be  0.0000  0.5000  0.5000  2 F 1.82
Be  0.5000  0.5000  0.0000  2 F 1.82
Be  0.0000  0.0000  0.0000  12 Be 2.58
F  0.5000  0.5000  0.5000  6 Be 1.82

## Properties
- volume (Å³ per cell) = 48
- E_form (uncorrected) (meV per atom) = 277
- total moment (μB per cell) = 0.0

VASP calculation (PBE) on a geometry-optimized Be2F structure.

Cell: 2.3662 8.1009 3.5552 Å, 90.00 90.00 90.00°
Last column: nearest neighbours and their distance in Å.
Sites, in units of the cell vectors:
Be  0.5000  0.4805  0.5000  8 Be 2.16-2.37
Be  0.5000  0.2770  0.0000  2 F 1.54
Be  0.0000  0.7230  0.5000  2 F 1.54
Be  0.0000  0.5195  0.0000  8 Be 2.16-2.37
F  0.5000  0.8441  0.5000  2 Be 1.54
F  0.0000  0.1559  0.0000  2 Be 1.54

## Properties
- relative energy among the computed polymorphs (meV per atom) = 12
- volume (Å³ per cell) = 68
- E_form (uncorrected) (meV per atom) = -1248
- total moment (μB per cell) = 0.0

VASP calculation (PBE) on a geometry-optimized BeF3 structure.

Cell: 2.3534 2.5801 7.3242 Å, 90.00 90.00 90.00°
Last column: nearest neighbours and their distance in Å.
Sites, in units of the cell vectors:
F  0.5000  0.5000  0.0820  4 Be 1.95
F  0.0000  0.5000  0.4654  4 F 2.35-2.58
F  0.5000  0.0000  0.8213  2 Be 1.58
Be  0.0000  0.0000  0.9647  2 F 1.58

## Properties
- relative energy among the computed polymorphs (meV per atom) = 136
- volume (Å³ per cell) = 44
- E_form (uncorrected) (meV per atom) = -1767
- total moment (μB per cell) = 1.0

VASP calculation (PBE) on a geometry-optimized BeF3 structure.

Cell: 3.6333 3.6333 3.6333 Å, 60.00 60.00 60.00°
Last column: nearest neighbours and their distance in Å.
Sites, in units of the cell vectors:
F  0.2500  0.2500  0.2500  4 F 2.22, 4 Be 2.22
F  0.7500  0.7500  0.7500  4 F 2.22, 4 Be 2.22
F  0.5000  0.5000  0.5000  8 F 2.22
Be  0.0000  0.0000  0.0000  8 F 2.22

## Properties
- relative energy among the computed polymorphs (meV per atom) = 944
- volume (Å³ per cell) = 34
- E_form (uncorrected) (meV per atom) = -959
- total moment (μB per cell) = 1.0

VASP calculation (PBE) on a geometry-optimized Be2F structure.

Cell: 2.5229 2.5234 23.0913 Å, 90.00 96.26 90.00°
Last column: nearest neighbours and their distance in Å.
Sites, in units of the cell vectors:
F  0.8843  0.5000  0.3790  2 Be 1.55
F  0.3067  0.5000  0.8012  2 Be 1.55
Be  0.8456  0.5000  0.8401  4 F 1.55
Be  0.6233  0.5000  0.0885  8 Be 2.15
Be  0.1755  0.0000  0.1405  5 Be 2.15-2.39
Be  0.6233  0.0000  0.5885  8 Be 2.15
F  0.3067  0.0000  0.3012  2 Be 1.55
Be  0.0717  0.5000  0.5365  5 Be 2.15-2.39
Be  0.8456  0.0000  0.3401  4 F 1.55
F  0.8843  0.0000  0.8790  2 Be 1.55
Be  0.1755  0.5000  0.6405  5 Be 2.15-2.39
Be  0.0717  0.0000  0.0365  5 Be 2.15-2.39

## Properties
- relative energy among the computed polymorphs (meV per atom) = 0
- volume (Å³ per cell) = 146
- E_form (uncorrected) (meV per atom) = -1261
- total moment (μB per cell) = 0.0

VASP calculation (PBE) on a geometry-optimized BeF3 structure.

Cell: 2.4554 4.0897 4.7588 Å, 115.45 104.95 90.00°
Last column: nearest neighbours and their distance in Å.
Sites, in units of the cell vectors:
F  0.3631  0.7642  0.7262  2 Be 1.72
Be  0.0000  0.0046  0.0000  6 F 1.72-1.90
F  0.6369  0.0380  0.2738  2 Be 1.72
F  0.5000  0.3599  0.0000  2 Be 1.90

## Properties
- relative energy among the computed polymorphs (meV per atom) = 0
- volume (Å³ per cell) = 41
- E_form (uncorrected) (meV per atom) = -1903
- total moment (μB per cell) = 1.0